Run one
The following is a PBE calculation of Na2In2Hg after structural relaxation, from Alexandria via LeMat-Bulk.

Output
Space-group type: I4/mmm
D(E_F): 2.4 states/eV per cell

The structure in CIF format:
```
data_Na2In2Hg
_chemical_formula_sum 'Na2 In2 Hg1'
_symmetry_space_group_name_H-M 'P 1'
_symmetry_Int_Tables_number 1
_cell_length_a 4.247
_cell_length_b 4.247
_cell_length_c 8.924
_cell_angle_alpha 76.24
_cell_angle_beta 76.24
_cell_angle_gamma 90.00
loop_
_symmetry_equiv_pos_as_xyz
'x,y,z'
loop_
_atom_site_label
_atom_site_type_symbol
_atom_site_fract_x
_atom_site_fract_y
_atom_site_fract_z
Na1 Na 0.404 0.404 0.193
Na2 Na 0.596 0.596 0.807
Hg1 Hg 0.000 0.000 0.000
In1 In 0.750 0.250 0.500
In2 In 0.250 0.750 0.500
```

Run two
The following is a PBE calculation of Na2In2Hg after structural relaxation, from Alexandria via LeMat-Bulk.

Output
Space-group type: P4/mbm
D(E_F): 4.7 states/eV per cell

The structure in CIF format:
```
data_Na2In2Hg
_chemical_formula_sum 'Na4 In4 Hg2'
_symmetry_space_group_name_H-M 'P 1'
_symmetry_Int_Tables_number 1
_cell_length_a 9.459
_cell_length_b 9.459
_cell_length_c 3.289
_cell_angle_alpha 90.00
_cell_angle_beta 90.00
_cell_angle_gamma 90.00
loop_
_symmetry_equiv_pos_as_xyz
'x,y,z'
loop_
_atom_site_label
_atom_site_type_symbol
_atom_site_fract_x
_atom_site_fract_y
_atom_site_fract_z
Na1 Na 0.314 0.814 0.000
Na2 Na 0.814 0.686 0.000
Na3 Na 0.686 0.186 0.000
Na4 Na 0.186 0.314 0.000
Hg1 Hg 0.000 0.000 0.000
Hg2 Hg 0.500 0.500 0.000
In1 In 0.111 0.611 0.500
In2 In 0.611 0.889 0.500
In3 In 0.889 0.389 0.500
In4 In 0.389 0.111 0.500
```

Run three
The following is a PBE calculation of Na2In2Hg after structural relaxation, from Alexandria via LeMat-Bulk.

Output
Space-group type: C2/m
D(E_F): 3.2 states/eV per cell

The structure in CIF format:
```
data_Na2In2Hg
_chemical_formula_sum 'Na4 In4 Hg2'
_symmetry_space_group_name_H-M 'P 1'
_symmetry_Int_Tables_number 1
_cell_length_a 5.060
_cell_length_b 6.210
_cell_length_c 10.359
_cell_angle_alpha 98.36
_cell_angle_beta 75.86
_cell_angle_gamma 65.96
loop_
_symmetry_equiv_pos_as_xyz
'x,y,z'
loop_
_atom_site_label
_atom_site_type_symbol
_atom_site_fract_x
_atom_site_fract_y
_atom_site_fract_z
Na1 Na 0.710 0.207 0.374
Na2 Na 0.890 0.279 0.940
Na3 Na 0.290 0.793 0.626
Na4 Na 0.110 0.721 0.060
In1 In 0.995 0.391 0.620
In2 In 0.649 0.842 0.860
In3 In 0.005 0.609 0.380
In4 In 0.351 0.158 0.140
Hg1 Hg 0.552 0.199 0.698
Hg2 Hg 0.448 0.801 0.302
```

The structure with the most favorable energy is run three; the runner-up is 9.6 kJ/mol of atoms above it.

Run one
The following is a PBE calculation of Na2In2Hg after structural relaxation, from Alexandria via LeMat-Bulk.

Output
Space-group type: P4/mbm
D(E_F): 6.1 states/eV per cell

The structure in CIF format:
```
data_Na2In2Hg
_chemical_formula_sum 'Na4 In4 Hg2'
_symmetry_space_group_name_H-M 'P 1'
_symmetry_Int_Tables_number 1
_cell_length_a 7.561
_cell_length_b 7.561
_cell_length_c 5.028
_cell_angle_alpha 90.00
_cell_angle_beta 90.00
_cell_angle_gamma 90.00
loop_
_symmetry_equiv_pos_as_xyz
'x,y,z'
loop_
_atom_site_label
_atom_site_type_symbol
_atom_site_fract_x
_atom_site_fract_y
_atom_site_fract_z
Na1 Na 0.169 0.669 0.500
Na2 Na 0.669 0.831 0.500
Na3 Na 0.831 0.331 0.500
Na4 Na 0.331 0.169 0.500
Hg1 Hg 0.000 0.000 0.000
Hg2 Hg 0.500 0.500 0.000
In1 In 0.363 0.863 0.000
In2 In 0.863 0.637 0.000
In3 In 0.637 0.137 0.000
In4 In 0.137 0.363 0.000
```

Run two
The following is a PBE calculation of Na2In2Hg after structural relaxation, from Alexandria via LeMat-Bulk.

Output
Space-group type: I4/mmm
D(E_F): 1.8 states/eV per cell

The structure in CIF format:
```
data_Na2In2Hg
_chemical_formula_sum 'Na2 In2 Hg1'
_symmetry_space_group_name_H-M 'P 1'
_symmetry_Int_Tables_number 1
_cell_length_a 4.301
_cell_length_b 4.301
_cell_length_c 8.276
_cell_angle_alpha 74.94
_cell_angle_beta 74.94
_cell_angle_gamma 90.00
loop_
_symmetry_equiv_pos_as_xyz
'x,y,z'
loop_
_atom_site_label
_atom_site_type_symbol
_atom_site_fract_x
_atom_site_fract_y
_atom_site_fract_z
Na1 Na 0.750 0.250 0.500
Na2 Na 0.250 0.750 0.500
Hg1 Hg 0.000 0.000 0.000
In1 In 0.407 0.407 0.185
In2 In 0.593 0.593 0.815
```

Run three
The following is a PBE calculation of Na2In2Hg after structural relaxation, from Alexandria via LeMat-Bulk.

Output
Space-group type: Fmmm
D(E_F): 2.6 states/eV per cell

The structure in CIF format:
```
data_Na2In2Hg
_chemical_formula_sum 'Na4 In4 Hg2'
_symmetry_space_group_name_H-M 'P 1'
_symmetry_Int_Tables_number 1
_cell_length_a 4.975
_cell_length_b 12.671
_cell_length_c 15.035
_cell_angle_alpha 16.79
_cell_angle_beta 80.48
_cell_angle_gamma 78.68
loop_
_symmetry_equiv_pos_as_xyz
'x,y,z'
loop_
_atom_site_label
_atom_site_type_symbol
_atom_site_fract_x
_atom_site_fract_y
_atom_site_fract_z
Na1 Na 0.346 0.865 0.942
Na2 Na 0.846 0.365 0.442
Na3 Na 0.654 0.135 0.058
Na4 Na 0.154 0.635 0.558
In1 In 0.452 0.945 0.653
In2 In 0.049 0.555 0.847
In3 In 0.548 0.055 0.347
In4 In 0.951 0.445 0.153
Hg1 Hg 0.250 0.750 0.250
Hg2 Hg 0.750 0.250 0.750
```

The structure with the most favorable energy is run three; the runner-up is 7.5 kJ/mol of atoms above it.

Run one
The following is a PBE calculation of NaIn4Hg after structural relaxation, from Alexandria via LeMat-Bulk.

Output
Space-group type: Cmmm
D(E_F): 2.7 states/eV per cell

The structure in CIF format:
```
data_NaIn4Hg
_chemical_formula_sum 'Na1 In4 Hg1'
_symmetry_space_group_name_H-M 'P 1'
_symmetry_Int_Tables_number 1
_cell_length_a 4.576
_cell_length_b 4.646
_cell_length_c 7.752
_cell_angle_alpha 90.00
_cell_angle_beta 107.17
_cell_angle_gamma 90.00
loop_
_symmetry_equiv_pos_as_xyz
'x,y,z'
loop_
_atom_site_label
_atom_site_type_symbol
_atom_site_fract_x
_atom_site_fract_y
_atom_site_fract_z
Na1 Na 0.500 0.500 0.000
In1 In 0.331 0.000 0.662
In2 In 0.669 0.000 0.338
In3 In 0.833 0.500 0.666
In4 In 0.167 0.500 0.334
Hg1 Hg 0.000 0.000 0.000
```

Run two
The following is a PBE calculation of NaIn4Hg after structural relaxation, from Alexandria via LeMat-Bulk.

Output
Space-group type: F-43m
D(E_F): 3.5 states/eV per cell

The structure in CIF format:
```
data_NaIn4Hg
_chemical_formula_sum 'Na1 In4 Hg1'
_symmetry_space_group_name_H-M 'P 1'
_symmetry_Int_Tables_number 1
_cell_length_a 6.229
_cell_length_b 6.229
_cell_length_c 6.229
_cell_angle_alpha 60.00
_cell_angle_beta 60.00
_cell_angle_gamma 60.00
loop_
_symmetry_equiv_pos_as_xyz
'x,y,z'
loop_
_atom_site_label
_atom_site_type_symbol
_atom_site_fract_x
_atom_site_fract_y
_atom_site_fract_z
Na1 Na 0.250 0.250 0.250
Hg1 Hg 0.000 0.000 0.000
In1 In 0.625 0.625 0.125
In2 In 0.625 0.125 0.625
In3 In 0.625 0.625 0.625
In4 In 0.125 0.625 0.625
```

The structure with the most favorable energy is run one; the runner-up is 7.9 kJ/mol of atoms above it.

Run one
The following is a PBE calculation of NaIn4Hg5 after structural relaxation, from Alexandria via LeMat-Bulk.

Output
Space-group type: I4
D(E_F): 5.1 states/eV per cell

The structure in CIF format:
```
data_NaIn4Hg5
_chemical_formula_sum 'Na1 In4 Hg5'
_symmetry_space_group_name_H-M 'P 1'
_symmetry_Int_Tables_number 1
_cell_length_a 6.197
_cell_length_b 7.375
_cell_length_c 7.375
_cell_angle_alpha 79.83
_cell_angle_beta 65.16
_cell_angle_gamma 65.16
loop_
_symmetry_equiv_pos_as_xyz
'x,y,z'
loop_
_atom_site_label
_atom_site_type_symbol
_atom_site_fract_x
_atom_site_fract_y
_atom_site_fract_z
Na1 Na 0.161 0.000 0.000
In1 In 0.357 0.393 0.814
In2 In 0.750 0.814 0.607
In3 In 0.172 0.186 0.393
In4 In 0.565 0.607 0.186
Hg1 Hg 0.869 0.391 0.792
Hg2 Hg 0.260 0.792 0.609
Hg3 Hg 0.660 0.208 0.391
Hg4 Hg 0.051 0.609 0.208
Hg5 Hg 0.665 0.000 0.000
```

Run two
The following is a PBE calculation of NaIn4Hg5 after structural relaxation, from Alexandria via LeMat-Bulk.

Output
Space-group type: P4/mmm
D(E_F): 4.7 states/eV per cell

The structure in CIF format:
```
data_NaIn4Hg5
_chemical_formula_sum 'Na1 In4 Hg5'
_symmetry_space_group_name_H-M 'P 1'
_symmetry_Int_Tables_number 1
_cell_length_a 3.836
_cell_length_b 3.836
_cell_length_c 17.803
_cell_angle_alpha 90.00
_cell_angle_beta 90.00
_cell_angle_gamma 90.00
loop_
_symmetry_equiv_pos_as_xyz
'x,y,z'
loop_
_atom_site_label
_atom_site_type_symbol
_atom_site_fract_x
_atom_site_fract_y
_atom_site_fract_z
Na1 Na 0.000 0.000 0.000
In1 In 0.000 0.000 0.203
In2 In 0.000 0.000 0.403
In3 In 0.000 0.000 0.597
In4 In 0.000 0.000 0.797
Hg1 Hg 0.500 0.500 0.098
Hg2 Hg 0.500 0.500 0.297
Hg3 Hg 0.500 0.500 0.500
Hg4 Hg 0.500 0.500 0.703
Hg5 Hg 0.500 0.500 0.902
```

The structure with the most favorable energy is run two; the runner-up is 2.3 kJ/mol of atoms above it.